[1]
Below is Dy2Zn16Pt after structural relaxation, with properties calculated at the PBE level.

Cell lengths 6.7823, 6.7823, 6.7823 Å; angles 82.72, 82.72, 82.72 degrees
Sites, in units of the cell vectors:
Dy: 0.0000 0.0000 0.0000
Dy: 0.3306 0.3306 0.3306
Zn: 0.0194 0.0194 0.5106
Zn: 0.0194 0.5106 0.0194
Zn: 0.1667 0.6693 0.6693
Zn: 0.3128 0.3128 0.8312
Zn: 0.3128 0.8312 0.3128
Zn: 0.3757 0.6695 0.9619
Zn: 0.3757 0.9619 0.6695
Zn: 0.5106 0.0194 0.0194
Zn: 0.5662 0.5662 0.5662
Zn: 0.6693 0.1667 0.6693
Zn: 0.6693 0.6693 0.1667
Zn: 0.6695 0.3757 0.9619
Zn: 0.6695 0.9619 0.3757
Zn: 0.8312 0.3128 0.3128
Zn: 0.9619 0.3757 0.6695
Zn: 0.9619 0.6695 0.3757
Pt: 0.7696 0.7696 0.7696

Calculated values
As for the energy: -2.169 eV/atom. Its theoretical density is 8.53 g/cm3. The formation enthalpy at 0 K comes out at -0.2940 eV per atom. For the density of states at the Fermi level, the calculation gives 6.6 states/eV/cell.

---

[2]
Below is DyZn2Pt2 after structural relaxation, with properties calculated at the PBE level.

Cell lengths 4.8490, 4.6067, 8.3088 Å; angles 90.00, 100.44, 90.00 degrees
Sites, in units of the cell vectors:
Dy: 0.1993 0.2500 0.2721
Dy: 0.8007 0.7500 0.7279
Zn: 0.3323 0.2500 0.6493
Zn: 0.3568 0.7500 0.0015
Zn: 0.6432 0.2500 0.9985
Zn: 0.6677 0.7500 0.3507
Pt: 0.1148 0.2500 0.9071
Pt: 0.2102 0.7500 0.4944
Pt: 0.7898 0.2500 0.5056
Pt: 0.8852 0.7500 0.0929

Calculated values
As for the energy: -4.629 eV/atom. Its excess energy over the best structure of this formula in the dataset is 0.0417 eV/atom. Its theoretical density is 12.44 g/cm3. The formation enthalpy at 0 K comes out at -0.7822 eV per atom. For the density of states at the Fermi level, the calculation gives 3.6 states/eV/cell.

---

[3]
Below is Dy6Zn2Pt after structural relaxation, with properties calculated at the PBE level.

Cell lengths 8.4158, 8.4158, 8.4158 Å; angles 110.63, 110.50, 107.31 degrees
Sites, in units of the cell vectors:
Dy: 0.0726 0.2459 0.8266
Dy: 0.2200 0.5460 0.3260
Dy: 0.2200 0.8940 0.6740
Dy: 0.3103 0.2393 0.5497
Dy: 0.3103 0.7607 0.0710
Dy: 0.4193 0.2459 0.1734
Dy: 0.5807 0.7541 0.8266
Dy: 0.6897 0.2393 0.9290
Dy: 0.6897 0.7607 0.4503
Dy: 0.7800 0.1060 0.3260
Dy: 0.7800 0.4540 0.6740
Dy: 0.9274 0.7541 0.1734
Zn: 0.0000 0.1282 0.1282
Zn: 0.0000 0.8718 0.8718
Zn: 0.1350 0.5000 0.6350
Zn: 0.8650 0.5000 0.3650
Pt: 0.5000 0.0000 0.5000
Pt: 0.5000 0.5000 0.0000

Calculated values
As for the energy: -4.428 eV/atom. Its excess energy over the best structure of this formula in the dataset is 0.0000 eV/atom. Its theoretical density is 9.43 g/cm3. The formation enthalpy at 0 K comes out at -0.4056 eV per atom. For the density of states at the Fermi level, the calculation gives 15.6 states/eV/cell.

---

[4]
Below is DyZn4Pt after structural relaxation, with properties calculated at the PBE level.

Cell lengths 5.1877, 5.1877, 5.1877 Å; angles 60.00, 60.00, 60.00 degrees
Sites, in units of the cell vectors:
Dy: 0.0000 0.0000 0.0000
Zn: 0.1272 0.6243 0.6243
Zn: 0.6243 0.1272 0.6243
Zn: 0.6243 0.6243 0.1272
Zn: 0.6243 0.6243 0.6243
Pt: 0.2500 0.2500 0.2500

Calculated values
As for the energy: -3.022 eV/atom. Its excess energy over the best structure of this formula in the dataset is 0.0000 eV/atom. Its theoretical density is 10.42 g/cm3. The formation enthalpy at 0 K comes out at -0.3989 eV per atom. For the density of states at the Fermi level, the calculation gives 4.9 states/eV/cell.

---

[5]
Below is Dy3ZnPt4 after structural relaxation, with properties calculated at the PBE level.

Cell lengths 8.4647, 8.4647, 8.4647 Å; angles 152.28, 140.06, 49.31 degrees
Sites, in units of the cell vectors:
Dy: 0.0000 0.0000 0.0000
Dy: 0.2986 0.7986 0.5000
Dy: 0.7014 0.2014 0.5000
Zn: 0.5000 0.5000 0.0000
Pt: 0.1015 0.3760 0.7255
Pt: 0.3495 0.6240 0.7255
Pt: 0.6505 0.3760 0.2745
Pt: 0.8985 0.6240 0.2745

Calculated values
As for the energy: -5.915 eV/atom. Its theoretical density is 12.27 g/cm3. The formation enthalpy at 0 K comes out at -1.0093 eV per atom. For the density of states at the Fermi level, the calculation gives 2.9 states/eV/cell.

---

[6]
Below is Dy8ZnPt2 after structural relaxation, with properties calculated at the PBE level.

Cell lengths 7.8940, 7.8940, 5.5730 Å; angles 98.34, 98.34, 114.37 degrees
Sites, in units of the cell vectors:
Dy: 0.0000 0.0000 0.0000
Dy: 0.0491 0.3017 0.6055
Dy: 0.1468 0.6184 0.1905
Dy: 0.3017 0.0491 0.6055
Dy: 0.4598 0.7128 0.7847
Dy: 0.6184 0.1468 0.1905
Dy: 0.7128 0.4598 0.7847
Dy: 0.7569 0.7569 0.3796
Zn: 0.3828 0.3828 0.1271
Pt: 0.0754 0.6856 0.6908
Pt: 0.6856 0.0754 0.6908

Calculated values
As for the energy: -4.992 eV/atom. Its theoretical density is 9.56 g/cm3. The formation enthalpy at 0 K comes out at -0.4304 eV per atom. For the density of states at the Fermi level, the calculation gives 14.8 states/eV/cell.